A plane-wave DFT calculation with PBE-GGA was carried out for an optimized crystal structure of Sm2HoAg.

abc: 5.4399 5.4399 5.4399
angles: 60.00 60.00 60.00
Element x y z (fractional)
Ag  0.5000  0.5000  0.5000
Ho  0.0000  0.0000  0.0000
Sm  0.2500  0.2500  0.2500
Sm  0.7500  0.7500  0.7500

Calculated values
Crystal system ... cubic
E above lowest polymorph ... 168 meV per atom
Space-group type ... Fm-3m
M_tot ... 0.0000 μB/atom